Record 1
The following is a DFT calculation (PBE) of a relaxed structure of SrYBe.

a b c (Å): 3.8527 3.8527 7.3919
angles (deg): 90.00 90.00 120.00
Space group P3m1 (No. 156)
Symmetry-distinct sites (fractional):
Sr  0.0000  0.0000  0.0000 x1
Y  0.6667  0.3333  0.4710 x1
Be  0.3333  0.6667  0.7052 x1

Results
ΔH_f (0 K): 0.4649 eV/atom
Mass density: 3.2 g cm⁻³
Offset from the most stable computed form: 4.943 kcal/mol of atoms
Electronic total energy: -3.49 eV/atom
DOS at the Fermi energy: 4.8 states/eV/f.u.
Calculated volume: 31.7 Å³ per atom

***

Record 2
The following is a DFT calculation (PBE) of a relaxed structure of Sr3YBe.

a b c (Å): 5.975 5.975 5.975
angles (deg): 90.00 90.00 90.00
Space group Pm-3m (No. 221)
Symmetry-distinct sites (fractional):
Sr  0.000  0.000  0.500 x3
Y  0.500  0.500  0.500 x1
Be  0.000  0.000  0.000 x1

Results
ΔH_f (0 K): 0.5097 eV/atom
Mass density: 2.8 g cm⁻³
Offset from the most stable computed form: 0.000 kcal/mol of atoms
Electronic total energy: -2.54 eV/atom
DOS at the Fermi energy: 7.6 states/eV/f.u.
Calculated volume: 42.7 Å³ per atom

***

Record 3
The following is a DFT calculation (PBE) of a relaxed structure of SrYBe2.

a b c (Å): 3.642 3.642 7.004
angles (deg): 90.00 90.00 90.00
Space group P4/mmm (No. 123)
Symmetry-distinct sites (fractional):
Sr  0.000  0.000  0.000 x1
Y  0.000  0.000  0.500 x1
Be  0.500  0.500  0.319 x2

Results
ΔH_f (0 K): 0.2755 eV/atom
Mass density: 3.5 g cm⁻³
Offset from the most stable computed form: 0.011 kcal/mol of atoms
Electronic total energy: -3.62 eV/atom
DOS at the Fermi energy: 2.4 states/eV/f.u.
Calculated volume: 23.2 Å³ per atom

***

Record 4
The following is a DFT calculation (PBE) of a relaxed structure of Sr2YBe.

a b c (Å): 5.672 5.672 7.999
angles (deg): 90.00 90.00 90.00
Space group I-4m2 (No. 119)
Symmetry-distinct sites (fractional):
Sr  0.000  0.000  0.000 x2
Sr  0.000  0.500  0.250 x2
Y  0.000  0.000  0.500 x2
Be  0.000  0.500  0.750 x2

Results
ΔH_f (0 K): 0.5821 eV/atom
Mass density: 3.5 g cm⁻³
Electronic total energy: -2.81 eV/atom
DOS at the Fermi energy: 5.1 states/eV/f.u.
Calculated volume: 32.2 Å³ per atom

***

Record 5
The following is a DFT calculation (PBE) of a relaxed structure of SrYBe2.

a b c (Å): 6.963 6.963 6.963
angles (deg): 90.00 90.00 90.00
Space group F-43m (No. 216)
Symmetry-distinct sites (fractional):
Sr  0.000  0.000  0.000 x4
Y  0.250  0.250  0.250 x4
Be  0.000  0.000  0.500 x4
Be  0.250  0.250  0.750 x4

Results
ΔH_f (0 K): 0.7564 eV/atom
Mass density: 3.8 g cm⁻³
Offset from the most stable computed form: 11.101 kcal/mol of atoms
Electronic total energy: -3.14 eV/atom
DOS at the Fermi energy: 2.3 states/eV/f.u.
Calculated volume: 21.1 Å³ per atom

***

Record 6
The following is a DFT calculation (PBE) of a relaxed structure of Sr2YBe.

a b c (Å): 4.949 4.949 10.703
angles (deg): 90.00 90.00 90.00
Space group I4/mmm (No. 139)
Symmetry-distinct sites (fractional):
Sr  0.000  0.500  0.250 x4
Y  0.000  0.000  0.000 x2
Be  0.000  0.000  0.500 x2

Results
ΔH_f (0 K): 0.5917 eV/atom
Mass density: 3.5 g cm⁻³
Electronic total energy: -2.80 eV/atom
DOS at the Fermi energy: 7.4 states/eV/f.u.
Calculated volume: 32.8 Å³ per atom

***

Record 7
The following is a DFT calculation (PBE) of a relaxed structure of Sr2YBe.

a b c (Å): 3.714 3.713 9.964
angles (deg): 90.00 90.01 90.00
Space group Pm (No. 6)
Symmetry-distinct sites (fractional):
Sr  0.000  0.000  0.000 x1
Sr  0.499  0.500  0.642 x1
Y  0.499  0.500  0.301 x1
Be  0.998  0.000  0.435 x1

Results
ΔH_f (0 K): 0.2235 eV/atom
Mass density: 3.3 g cm⁻³
Electronic total energy: -3.16 eV/atom
DOS at the Fermi energy: 4.1 states/eV/f.u.
Calculated volume: 34.3 Å³ per atom

***

Record 8
The following is a DFT calculation (PBE) of a relaxed structure of SrYBe2.

a b c (Å): 7.138 7.138 7.138
angles (deg): 90.00 90.00 90.00
Space group Fm-3m (No. 225)
Symmetry-distinct sites (fractional):
Sr  0.000  0.000  0.000 x4
Y  0.000  0.000  0.500 x4
Be  0.250  0.250  0.250 x8

Results
ΔH_f (0 K): 0.3978 eV/atom
Mass density: 3.6 g cm⁻³
Offset from the most stable computed form: 2.830 kcal/mol of atoms
Electronic total energy: -3.50 eV/atom
DOS at the Fermi energy: 3.2 states/eV/f.u.
Calculated volume: 22.7 Å³ per atom

***

Record 9
The following is a DFT calculation (PBE) of a relaxed structure of SrYBe2.

a b c (Å): 4.019 3.734 13.347
angles (deg): 90.00 90.00 90.00
Space group Amm2 (No. 38)
Symmetry-distinct sites (fractional):
Sr  0.000  0.000  0.000 x2
Y  0.500  0.000  0.726 x2
Be  0.000  0.000  0.308 x2
Be  0.500  0.000  0.375 x2

Results
ΔH_f (0 K): 0.2751 eV/atom
Mass density: 3.2 g cm⁻³
Offset from the most stable computed form: 0.000 kcal/mol of atoms
Electronic total energy: -3.62 eV/atom
DOS at the Fermi energy: 4.4 states/eV/f.u.
Calculated volume: 25.0 Å³ per atom

***

Record 10
The following is a DFT calculation (PBE) of a relaxed structure of SrYBe2.

a b c (Å): 3.9403 3.9403 23.7669
angles (deg): 90.00 90.00 120.00
Space group R-3m (No. 166, hexagonal axes)
Symmetry-distinct sites (fractional):
Sr  0.0000  0.0000  0.0000 x3
Y  0.0000  0.0000  0.5000 x3
Be  0.0000  0.0000  0.2397 x6

Results
ΔH_f (0 K): 0.6348 eV/atom
Mass density: 3.0 g cm⁻³
Offset from the most stable computed form: 8.295 kcal/mol of atoms
Electronic total energy: -3.26 eV/atom
DOS at the Fermi energy: 3.6 states/eV/f.u.
Calculated volume: 26.6 Å³ per atom

***

Record 11
The following is a DFT calculation (PBE) of a relaxed structure of SrYBe.

a b c (Å): 7.173 7.173 7.173
angles (deg): 90.00 90.00 90.00
Space group F-43m (No. 216)
Symmetry-distinct sites (fractional):
Sr  0.000  0.000  0.000 x4
Y  0.000  0.000  0.500 x4
Be  0.250  0.250  0.250 x4

Results
ΔH_f (0 K): 0.5039 eV/atom
Mass density: 3.3 g cm⁻³
Offset from the most stable computed form: 5.844 kcal/mol of atoms
Electronic total energy: -3.45 eV/atom
DOS at the Fermi energy: 4.1 states/eV/f.u.
Calculated volume: 30.8 Å³ per atom

***

Record 12
The following is a DFT calculation (PBE) of a relaxed structure of Sr2YBe.

a b c (Å): 3.744 5.877 12.559
angles (deg): 90.00 90.00 90.00
Space group Imm2 (No. 44)
Symmetry-distinct sites (fractional):
Sr  0.000  0.000  0.000 x2
Sr  0.000  0.500  0.195 x2
Y  0.000  0.500  0.817 x2
Be  0.000  0.000  0.485 x2

Results
ΔH_f (0 K): 0.3405 eV/atom
Mass density: 3.3 g cm⁻³
Electronic total energy: -3.05 eV/atom
DOS at the Fermi energy: 5.5 states/eV/f.u.
Calculated volume: 34.5 Å³ per atom

***

Record 13
The following is a DFT calculation (PBE) of a relaxed structure of SrYBe2.

a b c (Å): 9.493 4.007 7.004
angles (deg): 90.00 126.05 90.00
Space group C2/m (No. 12)
Symmetry-distinct sites (fractional):
Sr  0.000  0.000  0.000 x2
Y  0.000  0.500  0.500 x2
Be  0.234  0.000  0.550 x4

Results
ΔH_f (0 K): 0.3098 eV/atom
Mass density: 3.0 g cm⁻³
Offset from the most stable computed form: 0.800 kcal/mol of atoms
Electronic total energy: -3.59 eV/atom
DOS at the Fermi energy: 3.9 states/eV/f.u.
Calculated volume: 26.9 Å³ per atom

***

Record 14
The following is a DFT calculation (PBE) of a relaxed structure of SrYBe2.

a b c (Å): 4.325 4.325 9.641
angles (deg): 90.00 90.00 90.00
Space group I-4m2 (No. 119)
Symmetry-distinct sites (fractional):
Sr  0.000  0.000  0.000 x2
Y  0.000  0.500  0.750 x2
Be  0.000  0.000  0.500 x2
Be  0.000  0.500  0.250 x2

Results
ΔH_f (0 K): 0.6857 eV/atom
Mass density: 3.6 g cm⁻³
Offset from the most stable computed form: 9.470 kcal/mol of atoms
Electronic total energy: -3.21 eV/atom
DOS at the Fermi energy: 4.8 states/eV/f.u.
Calculated volume: 22.5 Å³ per atom

***

Record 15
The following is a DFT calculation (PBE) of a relaxed structure of SrY2Be2.

a b c (Å): 7.369 7.369 4.604
angles (deg): 90.00 90.00 90.00
Space group P4/mbm (No. 127)
Symmetry-distinct sites (fractional):
Sr  0.000  0.000  0.000 x2
Y  0.161  0.339  0.500 x4
Be  0.101  0.601  0.000 x4

Results
ΔH_f (0 K): 0.2630 eV/atom
Mass density: 3.8 g cm⁻³
Electronic total energy: -4.15 eV/atom
DOS at the Fermi energy: 4.7 states/eV/f.u.
Calculated volume: 25.0 Å³ per atom